Entry 1:
# MgZnTc2 (PBE, optimized geometry)
data_MgZnTc2
_chemical_formula_sum 'Mg1 Zn1 Tc2'
_cell_length_a 5.025
_cell_length_b 5.025
_cell_length_c 5.025
_cell_angle_alpha 142.37
_cell_angle_beta 127.18
_cell_angle_gamma 66.65
_space_group_name_H-M_alt 'P 1'
_space_group_IT_number 1
_space_group_name_Hall 'P 1'
loop_
_atom_site_label
_atom_site_fract_x
_atom_site_fract_y
_atom_site_fract_z
Tc1 0.759 0.259 0.500
Tc2 0.986 0.986 0.000
Zn1 0.506 0.506 0.000
Mg1 0.249 0.749 0.500
# crystal system	orthorhombic
# uncorrected energy	-23.0	eV/cell
# energy relative to the elements	0.16	eV per atom
# energy above the most stable polymorph in this dataset	0.211	eV per atom


Entry 2:
# TlPd3Pt (PBE, optimized geometry)
data_TlPd3Pt
_chemical_formula_sum 'Tl1 Pd3 Pt1'
_cell_length_a 4.952
_cell_length_b 4.952
_cell_length_c 4.952
_cell_angle_alpha 90.00
_cell_angle_beta 90.00
_cell_angle_gamma 90.00
_space_group_name_H-M_alt 'P 1'
_space_group_IT_number 1
_space_group_name_Hall 'P 1'
loop_
_atom_site_label
_atom_site_fract_x
_atom_site_fract_y
_atom_site_fract_z
Pt1 0.000 0.000 0.000
Pd1 0.500 0.000 0.000
Pd2 0.000 0.500 0.000
Pd3 0.000 0.000 0.500
Tl1 0.500 0.500 0.500
# crystal system	cubic
# uncorrected energy	-20.4	eV/cell
# energy relative to the elements	0.72	eV per atom
# energy above the most stable polymorph in this dataset	0.851	eV per atom


Entry 3:
# Dy3YIr2 (PBE, optimized geometry)
data_Dy3YIr2
_chemical_formula_sum 'Dy6 Y2 Ir4'
_cell_length_a 6.758
_cell_length_b 7.056
_cell_length_c 8.370
_cell_angle_alpha 114.93
_cell_angle_beta 113.81
_cell_angle_gamma 90.00
_space_group_name_H-M_alt 'P 1'
_space_group_IT_number 1
_space_group_name_Hall 'P 1'
loop_
_atom_site_label
_atom_site_fract_x
_atom_site_fract_y
_atom_site_fract_z
Dy1 0.235 0.985 0.469
Dy2 0.765 0.015 0.531
Dy3 0.235 0.485 0.469
Dy4 0.765 0.515 0.531
Dy5 0.500 0.750 0.000
Dy6 0.500 0.250 0.000
Y1 0.000 0.000 0.000
Y2 0.000 0.500 0.000
Ir1 0.851 0.138 0.277
Ir2 0.426 0.638 0.277
Ir3 0.574 0.362 0.723
Ir4 0.149 0.862 0.723
# crystal system	orthorhombic
# uncorrected energy	-83.6	eV/cell
# energy relative to the elements	-0.64	eV per atom


Entry 4:
# Th2SnAu6 (PBE, optimized geometry)
data_Th2SnAu6
_chemical_formula_sum 'Th2 Sn1 Au6'
_cell_length_a 4.779
_cell_length_b 6.854
_cell_length_c 8.393
_cell_angle_alpha 114.10
_cell_angle_beta 110.09
_cell_angle_gamma 90.00
_space_group_name_H-M_alt 'P 1'
_space_group_IT_number 1
_space_group_name_Hall 'P 1'
loop_
_atom_site_label
_atom_site_fract_x
_atom_site_fract_y
_atom_site_fract_z
Sn1 0.000 0.000 0.000
Au1 0.500 0.767 0.000
Au2 0.953 0.618 0.669
Au3 0.500 0.233 0.000
Au4 0.953 0.051 0.669
Au5 0.047 0.382 0.331
Au6 0.047 0.949 0.331
Th1 0.485 0.342 0.683
Th2 0.515 0.658 0.317
# crystal system	monoclinic
# uncorrected energy	-41.7	eV/cell
# energy relative to the elements	-0.36	eV per atom


Entry 5:
# Tm5US6 (PBE, optimized geometry)
data_Tm5US6
_chemical_formula_sum 'Tm5 U1 S6'
_cell_length_a 6.676
_cell_length_b 6.669
_cell_length_c 6.667
_cell_angle_alpha 59.99
_cell_angle_beta 80.29
_cell_angle_gamma 70.29
_space_group_name_H-M_alt 'P 1'
_space_group_IT_number 1
_space_group_name_Hall 'P 1'
loop_
_atom_site_label
_atom_site_fract_x
_atom_site_fract_y
_atom_site_fract_z
Tm1 0.500 0.500 0.000
Tm2 0.500 0.832 0.337
Tm3 0.000 0.668 0.665
Tm4 0.000 0.332 0.335
Tm5 0.500 0.168 0.663
S1 0.748 0.420 0.664
S2 0.253 0.253 0.000
S3 0.252 0.580 0.336
S4 0.747 0.747 0.000
S5 0.748 0.084 0.336
S6 0.252 0.916 0.664
U1 0.000 0.000 0.000
# crystal system	monoclinic
# uncorrected energy	-80.3	eV/cell
# E_form (uncorrected)	-1.8204	eV/atom


Entry 6:
# MnFeTcRh (PBE, optimized geometry)
data_MnFeTcRh
_chemical_formula_sum 'Mn1 Fe1 Tc1 Rh1'
_cell_length_a 4.247
_cell_length_b 4.247
_cell_length_c 4.247
_cell_angle_alpha 60.00
_cell_angle_beta 60.00
_cell_angle_gamma 60.00
_space_group_name_H-M_alt 'P 1'
_space_group_IT_number 1
_space_group_name_Hall 'P 1'
loop_
_atom_site_label
_atom_site_fract_x
_atom_site_fract_y
_atom_site_fract_z
Mn1 0.250 0.250 0.250
Rh1 0.500 0.500 0.500
Fe1 0.750 0.750 0.750
Tc1 0.000 0.000 0.000
# crystal system	cubic
# uncorrected energy	-35.3	eV/cell
# energy relative to the elements	0.02	eV per atom


Entry 7:
# BaTcPS2 (PBE, optimized geometry)
data_BaTcPS2
_chemical_formula_sum 'Ba1 Tc1 P1 S2'
_cell_length_a 5.638
_cell_length_b 5.638
_cell_length_c 5.546
_cell_angle_alpha 90.00
_cell_angle_beta 90.00
_cell_angle_gamma 90.00
_space_group_name_H-M_alt 'P 1'
_space_group_IT_number 1
_space_group_name_Hall 'P 1'
loop_
_atom_site_label
_atom_site_fract_x
_atom_site_fract_y
_atom_site_fract_z
Ba1 0.000 0.000 0.000
S1 0.000 0.500 0.000
S2 0.500 0.000 0.000
Tc1 0.500 0.500 0.500
P1 0.000 0.000 0.500
# crystal system	tetragonal
# uncorrected energy	-18.5	eV/cell
# energy above the most stable polymorph in this dataset	2.124	eV per atom
# E_form (uncorrected)	1.4917	eV/atom


Entry 8:
# DyNiOs (PBE, optimized geometry)
data_DyNiOs
_chemical_formula_sum 'Dy2 Ni2 Os2'
_cell_length_a 5.084
_cell_length_b 5.087
_cell_length_c 5.045
_cell_angle_alpha 107.72
_cell_angle_beta 107.65
_cell_angle_gamma 107.42
_space_group_name_H-M_alt 'P 1'
_space_group_IT_number 1
_space_group_name_Hall 'P 1'
loop_
_atom_site_label
_atom_site_fract_x
_atom_site_fract_y
_atom_site_fract_z
Ni1 0.500 0.500 0.500
Ni2 0.000 0.000 0.000
Dy1 0.374 0.126 0.750
Dy2 0.626 0.874 0.250
Os1 0.993 0.507 0.250
Os2 0.007 0.493 0.750
# crystal system	monoclinic
# uncorrected energy	-43.1	eV/cell
# energy relative to the elements	0.02	eV per atom
# energy above the most stable polymorph in this dataset	0.397	eV per atom